A geometry-optimized NdNpCo structure, computed with PBE.

Structure (POSCAR):
```
NdNpCo
1.0
5.914 0.000 0.000
0.000 6.664 0.000
-3.523 0.000 6.635
Nd Np Co
4 4 4
Cartesian
-0.112 0.926 2.875 Nd
-1.873 2.407 6.193 Nd
4.265 4.258 0.442 Nd
2.503 5.739 3.760 Nd
-0.827 3.963 3.624 Np
0.935 6.033 0.306 Np
1.457 0.631 6.329 Np
3.218 2.701 3.011 Np
0.960 3.901 2.120 Co
-0.801 6.096 5.437 Co
3.192 0.568 1.198 Co
1.431 2.764 4.515 Co
```

Values from the calculation:
N(E_F), states/eV/f.u.: 5.94
E_form, meV per atom: 209.1
E_tot, eV/atom: -8.062
Total moment, μB per formula unit: 1.06
SG: P2_1/c, No. 14
Calculated volume, Å³ per cell: 261.5